# 1
The following is a PBE calculation of a geometry-optimized NaTa2HgMo structure, from the Alexandria database.

Lattice parameters (Å, degrees): 5.0907 5.0907 4.5878 90.00 90.00 90.00
Sites, in units of the cell vectors:
Na  0.0000  0.0000  0.0000
Ta  0.0000  0.5000  0.5000
Ta  0.5000  0.0000  0.5000
Hg  0.0000  0.0000  0.5000
Mo  0.5000  0.5000  0.0000

Energy of formation from the pure elements (eV/f.u.): 10.80
Symmetry: No. 123
Size of the total moment (μB/f.u.): 0.0



# 2
The following is a PBE calculation of a geometry-optimized NaTiHg2Mo structure, from the Alexandria database.

Lattice parameters (Å, degrees): 5.4494 5.4494 4.4960 90.00 90.00 90.00
Sites, in units of the cell vectors:
Na  0.0000  0.0000  0.0000
Ti  0.5000  0.5000  0.0000
Hg  0.0000  0.5000  0.5000
Hg  0.5000  0.0000  0.5000
Mo  0.5000  0.5000  0.5000

Energy of formation from the pure elements (eV/f.u.): 2.59
Symmetry: No. 123
Size of the total moment (μB/f.u.): 0.0